# La4AsN2

An optimized crystal structure of La4AsN2 (GGA-PBE, Alexandria).

Structure (POSCAR):
```
La4AsN2
1.0
1.9940 -6.3509 0.0000
1.9940 6.3509 0.0000
0.0000 0.0000 12.6869
La As N
8 2 4
direct
0.0000 0.0000 0.0000
0.0000 0.0000 0.5000
0.2710 0.7290 0.6094
0.2710 0.7290 0.8906
0.4232 0.5768 0.2500
0.5768 0.4232 0.7500
0.7290 0.2710 0.1094
0.7290 0.2710 0.3906
0.0982 0.9018 0.2500
0.9018 0.0982 0.7500
0.3572 0.6428 0.0587
0.3572 0.6428 0.4413
0.6428 0.3572 0.5587
0.6428 0.3572 0.9413
```

Properties
**Uncorrected energy**: -49.3 eV/f.u.
**E_form (uncorrected)**: -1189 meV/atom